9
Lattice="8.227 0.000 0.000 -4.114 7.125 0.000 0.000 0.000 3.567" Properties=species:S:1:pos:R:3 comment="Ca2PmAu6 (GGA-PBE, optimized geometry)" energy_ev_per_atom=-3.87 pbc="T T T"
Ca 0.000 4.750 0.000
Ca 4.114 2.375 0.000
Pm 0.000 0.000 0.000
Au -1.373 2.378 1.783
Au -2.741 4.747 1.783
Au 2.746 0.000 1.783
Au 1.373 2.378 1.783
Au 5.481 0.000 1.783
Au 2.741 4.747 1.783

3
Lattice="0.000 3.592 3.592 3.592 0.000 3.592 3.592 3.592 0.000" Properties=species:S:1:pos:R:3 comment="CaPmAu (GGA-PBE, optimized geometry)" energy_ev_per_atom=-3.81 pbc="T T T"
Ca 0.000 0.000 0.000
Pm 3.592 3.592 3.592
Au 1.796 1.796 1.796

8
Lattice="-3.677 3.677 3.677 3.677 -3.677 3.677 3.677 3.677 -3.677" Properties=species:S:1:pos:R:3 comment="CaPm3Au4 (GGA-PBE, optimized geometry)" energy_ev_per_atom=-4.46 pbc="T T T"
Ca 0.000 0.000 0.000
Pm 3.677 0.000 0.000
Pm 0.000 3.677 0.000
Pm 0.000 0.000 3.677
Au 1.838 1.838 -1.838
Au 1.838 -1.838 1.838
Au -1.838 1.838 1.838
Au 1.838 1.838 1.838

20
Lattice="8.097 0.000 0.000 0.000 5.529 0.000 -3.500 0.000 10.814" Properties=species:S:1:pos:R:3 comment="CaPmAu3 (GGA-PBE, optimized geometry)" energy_ev_per_atom=-4.01 pbc="T T T"
Ca 0.173 1.049 1.779
Ca -1.577 1.716 7.186
Ca 6.174 3.813 3.627
Ca 4.424 4.480 9.034
Pm 1.681 4.110 4.282
Pm -0.069 4.184 9.689
Pm 4.665 1.345 1.124
Pm 2.915 1.419 6.531
Au 0.886 3.814 1.121
Au -0.864 4.479 6.528
Au 0.186 1.333 4.778
Au -1.565 1.432 10.185
Au 2.777 1.372 3.477
Au 1.027 1.392 8.883
Au 3.569 4.137 1.930
Au 1.819 4.157 7.337
Au 6.161 4.097 0.629
Au 4.411 4.196 6.035
Au 5.461 1.050 4.286
Au 3.711 1.715 9.692

6
Lattice="3.675 0.000 0.000 0.000 3.675 0.000 0.000 0.000 10.939" Properties=species:S:1:pos:R:3 comment="Ca2PmAu3 (GGA-PBE, optimized geometry)" energy_ev_per_atom=-3.89 pbc="T T T"
Ca 0.000 0.000 1.805
Ca 0.000 0.000 9.134
Pm 0.000 0.000 5.470
Au 1.837 1.837 0.000
Au 1.837 1.837 3.717
Au 1.837 1.837 7.222

10
Lattice="5.855 0.000 0.000 0.000 4.702 0.000 -1.220 0.000 10.824" Properties=species:S:1:pos:R:3 comment="Ca2PmAu2 (GGA-PBE, optimized geometry)" energy_ev_per_atom=-3.69 pbc="T T T"
Ca 0.197 1.176 4.095
Ca 1.393 1.176 0.440
Ca 3.242 3.527 10.383
Ca 4.438 3.527 6.729
Pm 1.461 1.176 7.662
Pm 3.175 3.527 3.161
Au 0.329 3.527 9.270
Au 1.475 3.527 5.715
Au 3.160 1.176 5.109
Au 4.306 1.176 1.553

12
Lattice="0.000 6.929 4.635 6.107 0.000 4.635 6.107 6.929 0.000" Properties=species:S:1:pos:R:3 comment="CaPmAu (GGA-PBE, optimized geometry)" energy_ev_per_atom=-3.85 pbc="T T T"
Ca 4.138 1.702 2.317
Ca 7.192 1.763 4.635
Ca 1.969 5.227 2.317
Ca 5.023 12.096 4.635
Pm 5.846 5.130 3.877
Pm 9.422 8.595 6.194
Pm 6.369 8.728 3.877
Pm 8.900 12.193 6.194
Au 8.511 6.666 4.131
Au 5.457 3.728 6.449
Au 3.704 7.193 4.131
Au 6.758 10.131 6.449

8
Lattice="2.585 1.493 8.413 -2.585 1.493 8.413 0.000 -2.985 8.413" Properties=species:S:1:pos:R:3 comment="Ca3PmAu4 (GGA-PBE, optimized geometry)" energy_ev_per_atom=-3.78 pbc="T T T"
Ca 0.000 0.000 0.000
Ca 0.000 0.000 6.366
Ca 0.000 0.000 18.873
Pm 0.000 0.000 12.620
Au 0.000 0.000 3.237
Au 0.000 0.000 9.516
Au 0.000 0.000 15.723
Au 0.000 0.000 22.002

Question: Which formula does entry 5 have?
Answer: Ca2PmAu3